Run i
Below is a relaxed CaTeBr2 crystal, with properties calculated at the PBE level.

The structure in POSCAR format:
```
CaTeBr2
1.0
5.0673 0.0000 0.0000
0.0000 5.0673 0.0000
0.0000 0.0000 5.6104
Ca Te Br
1 1 2
direct
0.0000 0.0000 0.0000
0.5000 0.5000 0.0001
0.0000 0.0000 0.4954
0.5000 0.5000 0.5445
```

## Properties
Fermi-level density of states: 0.223 states/eV per atom
Density: 3.8 g/cm3

=====

Run ii
Below is a relaxed CaTeBr2 crystal, with properties calculated at the PBE level.

The structure in POSCAR format:
```
CaTeBr2
1.0
2.0517 1.1846 11.0898
-2.0517 1.1846 11.0898
0.0000 -2.3691 11.0898
Ca Te Br
1 1 2
direct
0.0000 0.0000 0.0000
0.5000 0.5000 0.5000
0.0785 0.0785 0.0785
0.9215 0.9215 0.9215
```

## Properties
Fermi-level density of states: 0.470 states/eV per atom
Density: 3.4 g/cm3

=====

Energies relative to the most stable structure, in eV/atom: run i 0.000; run ii 0.679.